one:
Below is a relaxed structure of BaTmHg, with properties calculated at the PBE level.

Total magnetic moment: 0.002 μB/atom
Crystal system: cubic

Geometry as CIF:
```
data_BaTmHg
_chemical_formula_sum 'Ba4 Tm4 Hg4'
_space_group_name_H-M_alt 'F -4 3 m'
_space_group_IT_number 216
_space_group_name_Hall 'F -4 2 3'
_cell_length_a 7.6702
_cell_length_b 7.6702
_cell_length_c 7.6702
_cell_angle_alpha 90.00
_cell_angle_beta 90.00
_cell_angle_gamma 90.00
loop_
_atom_site_label
_atom_site_type_symbol
_atom_site_fract_x
_atom_site_fract_y
_atom_site_fract_z
_atom_site_occupancy
Ba1 Ba 0.0000 0.0000 0.0000 1
Tm1 Tm 0.2500 0.2500 0.2500 1
Hg1 Hg 0.2500 0.2500 0.7500 1
```



two:
Below is a relaxed structure of BaTmHg, with properties calculated at the PBE level.

Total magnetic moment: 0.000 μB/atom
Crystal system: cubic

Geometry as CIF:
```
data_BaTmHg
_chemical_formula_sum 'Ba4 Tm4 Hg4'
_space_group_name_H-M_alt 'F -4 3 m'
_space_group_IT_number 216
_space_group_name_Hall 'F -4 2 3'
_cell_length_a 7.4437
_cell_length_b 7.4437
_cell_length_c 7.4437
_cell_angle_alpha 90.00
_cell_angle_beta 90.00
_cell_angle_gamma 90.00
loop_
_atom_site_label
_atom_site_type_symbol
_atom_site_fract_x
_atom_site_fract_y
_atom_site_fract_z
_atom_site_occupancy
Ba1 Ba 0.0000 0.0000 0.0000 1
Tm1 Tm 0.2500 0.2500 0.2500 1
Hg1 Hg 0.0000 0.0000 0.5000 1
```



Of the structures shown above, two is the most stable.